Entry 1:
DFT (GGA-PBE) results for an optimized crystal structure of Tb4CeY.

Summary:
SG = Imma, No. 74
Energy relative to the lowest polymorph listed for this composition = 242.3 meV per atom
Calculated volume = 388.0 Å³/cell
ΔH_f (0 K) = 0.27 eV/atom

Unit cell a=6.6544 b=11.5491 c=8.3613 alpha=133.68 beta=113.45 gamma=90.00
Each line ends with the local moment (μB).
Fractional positions:
Tb1 0.3355 0.3330 0.1661  0.08
Tb2 0.8326 0.3354 0.6651  0.07
Ce1 0.5000 0.0000 0.0000  0.80
Tb3 0.1694 0.6670 0.8339  0.08
Ce2 0.5000 0.5000 0.0000  0.80
Y1 0.0000 0.0000 0.5000  0.06
Tb4 0.8306 0.3330 0.1661  0.08
Tb5 0.1674 0.6646 0.3349  0.07
Y2 0.5000 0.0000 0.5000  0.06
Tb6 0.8326 0.8297 0.6651  0.07
Tb7 0.1674 0.1703 0.3349  0.07
Tb8 0.6645 0.6670 0.8339  0.08



Entry 2:
DFT (GGA-PBE) results for an optimized crystal structure of ZrBe4Nb.

Summary:
SG = Pmmm, No. 47
Energy relative to the lowest polymorph listed for this composition = 0.0 meV per atom
Calculated volume = 75.7 Å³/cell
ΔH_f (0 K) = -0.17 eV/atom

Unit cell a=3.1241 b=3.7309 c=6.4968 alpha=90.00 beta=90.00 gamma=90.00
Fractional positions:
Zr1 0.9987 0.9973 0.4981
Be1 0.4985 0.9973 0.8376
Nb1 0.9987 0.4973 0.9981
Be2 0.4985 0.9973 0.1586
Be3 0.4985 0.4973 0.3230
Be4 0.4986 0.4973 0.6732